VASP calculation (PBE) on an optimized crystal structure of TbSiNi4.

Summary:
spin magnetization	0.00	μB per atom
E_tot	-6.014	eV per atom
polymorph energy (0 for the lowest one)	0.126	eV per atom
crystal system	orthorhombic

Cell lengths 7.0989, 3.6000, 6.5565 Å; angles 90.00, 90.00, 90.00 degrees
Space group Pmma (No. 51)
Inequivalent atoms, fractional coordinates:
Tb 0.2500 0.0000 0.1348 (multiplicity 2)
Si 0.2500 0.0000 0.7034 (multiplicity 2)
Ni 0.0000 0.0000 0.5000 (multiplicity 2)
Ni 0.0595 0.5000 0.7895 (multiplicity 4)
Ni 0.2500 0.5000 0.4613 (multiplicity 2)